An optimized crystal structure of NaPrTm2Tl4, computed with PBE.

Results
- Spin magnetization: 0.00 μB/atom
- Calculated total energy: -3.3373 eV/atom

Structure (extended XYZ):
```
8
Lattice="2.672 1.543 8.927 -2.672 1.543 8.927 0.000 -3.085 8.927" Properties=species:S:1:pos:R:3 pbc="T T T"
Na 0.000 0.000 0.000
Pr 0.000 0.000 13.391
Tm 0.000 0.000 6.786
Tm 0.000 0.000 19.996
Tl 0.000 0.000 3.266
Tl 0.000 0.000 9.977
Tl 0.000 0.000 16.805
Tl 0.000 0.000 23.516
```

An optimized crystal structure of NaCa2PrHg4, computed with PBE.

Results
- Spin magnetization: 0.00 μB/atom
- Calculated total energy: -1.8702 eV/atom

Structure (extended XYZ):
```
8
Lattice="2.668 1.541 8.875 -2.668 1.541 8.875 0.000 -3.081 8.875" Properties=species:S:1:pos:R:3 pbc="T T T"
Na 0.000 0.000 0.000
Ca 0.000 0.000 6.767
Ca 0.000 0.000 19.858
Pr 0.000 0.000 13.312
Hg 0.000 0.000 3.339
Hg 0.000 0.000 10.010
Hg 0.000 0.000 16.614
Hg 0.000 0.000 23.286
```

An optimized crystal structure of LiPm3Ga4, computed with PBE.

Results
- Spin magnetization: 0.00 μB/atom
- Calculated total energy: -3.9032 eV/atom

Structure (extended XYZ):
```
8
Lattice="-1.859 3.384 8.043 1.859 -3.384 8.043 1.859 3.384 -8.043" Properties=species:S:1:pos:R:3 pbc="T T T"
Li 0.000 0.000 0.000
Pm 1.859 0.000 3.434
Pm 0.000 0.000 8.043
Pm 0.000 3.384 4.609
Ga 1.859 -1.489 6.131
Ga 0.000 1.895 1.911
Ga 1.859 1.489 6.131
Ga 0.000 4.873 1.911
```